A plane-wave DFT calculation with GGA-PBE was carried out for a relaxed structure of LiIn6Ag3.

Results
The space group is R-3 (148). As for the total energy: -2.7426 eV/atom. The energy of formation comes out at -5.10 kJ per mole of atoms.

POSCAR file:
```
LiIn6Ag3
1.0
6.526 3.768 3.036
-6.526 3.768 3.036
0.000 -7.536 3.036
Li In Ag
2 12 6
direct
0.000 0.000 0.000 Li
0.500 0.500 0.500 Li
0.033 0.702 0.157 In
0.157 0.033 0.702 In
0.171 0.451 0.625 In
0.298 0.843 0.967 In
0.375 0.829 0.549 In
0.451 0.625 0.171 In
0.549 0.375 0.829 In
0.625 0.171 0.451 In
0.702 0.157 0.033 In
0.829 0.549 0.375 In
0.843 0.967 0.298 In
0.967 0.298 0.843 In
0.128 0.395 0.245 Ag
0.245 0.128 0.395 Ag
0.395 0.245 0.128 Ag
0.605 0.755 0.872 Ag
0.755 0.872 0.605 Ag
0.872 0.605 0.755 Ag
```